# CoPbSO, relaxed, DFT PBE+U
data_CoPbSO
_chemical_formula_sum 'Co2 Pb2 S2 O2'
_symmetry_space_group_name_H-M 'P 4/n m m'
_symmetry_Int_Tables_number 129
_cell_length_a 3.5821
_cell_length_b 3.5821
_cell_length_c 10.6749
_cell_angle_alpha 90.00
_cell_angle_beta 90.00
_cell_angle_gamma 90.00
loop_
_symmetry_equiv_pos_as_xyz
'x,y,z'
'-x,-y,-z'
'-y+1/2,x,z'
'y+1/2,-x,-z'
'-x+1/2,-y+1/2,z'
'x+1/2,y+1/2,-z'
'y,-x+1/2,z'
'-y,x+1/2,-z'
'x+1/2,-y,-z'
'-x+1/2,y,z'
'-y,-x,-z'
'y,x,z'
'-x,y+1/2,-z'
'x,-y+1/2,z'
'y+1/2,x+1/2,-z'
'-y+1/2,-x+1/2,z'
loop_
_atom_site_label
_atom_site_fract_x
_atom_site_fract_y
_atom_site_fract_z
_atom_site_occupancy
Co1 0.2500 0.7500 0.0000 1
Pb1 0.2500 0.2500 0.3711 1
S1 0.2500 0.2500 0.8896 1
O1 0.2500 0.2500 0.5812 1
# * total magnetic moment: 0.6 μB/f.u.
# * energy above the lowest structure with this stoichiometry: 229 meV per atom